Entry from Alexandria: crystalline KFeW2 at its relaxed geometry (PBE).

DOS at the Fermi energy ... 12.83 states/eV/cell
Formation energy ... 1.886 eV per atom
Distance to the lowest polymorph of the same formula ... 1072.1 meV per atom

Lattice parameters (Å, degrees): 6.324 6.324 6.324 90.00 90.00 90.00
Space group Fm-3m (No. 225)
Inequivalent atoms, fractional coordinates:
K  0.000  0.000  0.000 x4
Fe  0.000  0.000  0.500 x4
W  0.250  0.250  0.250 x8

=====

Entry from Alexandria: crystalline KFe2W at its relaxed geometry (PBE).

DOS at the Fermi energy ... 4.00 states/eV/cell
Formation energy ... 0.853 eV per atom
Distance to the lowest polymorph of the same formula ... 129.2 meV per atom

Lattice parameters (Å, degrees): 2.748 3.558 8.090 90.00 90.00 90.00
Space group Pmm2 (No. 25)
Inequivalent atoms, fractional coordinates:
K  0.000  0.000  0.000 x1
Fe  0.000  0.000  0.527 x1
Fe  0.500  0.500  0.663 x1
W  0.500  0.500  0.372 x1

=====

Entry from Alexandria: crystalline KFeW2 at its relaxed geometry (PBE).

DOS at the Fermi energy ... 3.23 states/eV/cell
Formation energy ... 0.957 eV per atom
Distance to the lowest polymorph of the same formula ... 143.5 meV per atom

Lattice parameters (Å, degrees): 2.693 3.661 8.447 90.00 91.91 90.00
Space group P2/m (No. 10)
Inequivalent atoms, fractional coordinates:
K  0.000  0.000  0.000 x1
Fe  0.500  0.000  0.500 x1
W  0.012  0.500  0.647 x2

=====

Entry from Alexandria: crystalline KFeW2 at its relaxed geometry (PBE).

DOS at the Fermi energy ... 16.45 states/eV/cell
Formation energy ... 1.638 eV per atom
Distance to the lowest polymorph of the same formula ... 823.8 meV per atom

Lattice parameters (Å, degrees): 6.564 6.564 6.564 90.00 90.00 90.00
Space group F-43m (No. 216)
Inequivalent atoms, fractional coordinates:
K  0.000  0.000  0.000 x4
Fe  0.250  0.250  0.250 x4
W  0.000  0.000  0.500 x4
W  0.250  0.250  0.750 x4

=====

Entry from Alexandria: crystalline KFe2W at its relaxed geometry (PBE).

DOS at the Fermi energy ... 7.67 states/eV/cell
Formation energy ... 0.971 eV per atom
Distance to the lowest polymorph of the same formula ... 246.9 meV per atom

Lattice parameters (Å, degrees): 8.344 2.804 7.349 90.00 94.09 90.00
Space group Cm (No. 8)
Inequivalent atoms, fractional coordinates:
K  0.000  0.000  0.000 x2
Fe  0.269  0.500  0.352 x2
Fe  0.492  0.000  0.480 x2
W  0.226  0.000  0.616 x2

=====

Entry from Alexandria: crystalline KFe2W at its relaxed geometry (PBE).

DOS at the Fermi energy ... 12.77 states/eV/cell
Formation energy ... 0.911 eV per atom
Distance to the lowest polymorph of the same formula ... 186.7 meV per atom

Lattice parameters (Å, degrees): 2.9491 2.9491 28.5181 90.00 90.00 120.00
Space group R-3m (No. 166, hexagonal axes)
Inequivalent atoms, fractional coordinates:
K  0.0000  0.0000  0.0000 x3
Fe  0.0000  0.0000  0.2320 x6
W  0.0000  0.0000  0.5000 x3

=====

Entry from Alexandria: crystalline KFe2W at its relaxed geometry (PBE).

DOS at the Fermi energy ... 6.11 states/eV/cell
Formation energy ... 1.267 eV per atom
Distance to the lowest polymorph of the same formula ... 542.6 meV per atom

Lattice parameters (Å, degrees): 5.063 5.063 2.629 90.00 90.00 90.00
Space group P4/mmm (No. 123)
Inequivalent atoms, fractional coordinates:
K  0.000  0.000  0.000 x1
Fe  0.000  0.500  0.500 x2
W  0.500  0.500  0.000 x1

=====

Entry from Alexandria: crystalline KFeW2 at its relaxed geometry (PBE).

DOS at the Fermi energy ... 4.78 states/eV/cell
Formation energy ... 1.560 eV per atom
Distance to the lowest polymorph of the same formula ... 746.5 meV per atom

Lattice parameters (Å, degrees): 2.651 5.088 5.493 90.00 90.00 90.00
Space group Pmmm (No. 47)
Inequivalent atoms, fractional coordinates:
K  0.000  0.000  0.000 x1
Fe  0.500  0.500  0.000 x1
W  0.000  0.500  0.500 x1
W  0.500  0.000  0.500 x1